(1)
10
Lattice="4.5756 -1.4088 0.0000 4.5756 1.4088 0.0000 -2.0638 0.0000 11.6177" Properties=species:S:1:pos:R:3 comment="CuAg (GGA-PBE, relaxed)" e_form_kj_per_mol_atoms=10 rho_g_cm3=9.50 total_energy_ev_per_atom=-3.16 pbc="T T T"
Cu 0.0000 0.0000 0.0000
Cu -0.4459 0.0000 7.9885
Cu 2.7128 0.0000 1.1917
Cu 3.6390 0.0000 5.7267
Cu 7.7286 0.0000 3.4233
Ag 1.0976 0.0000 4.5476
Ag 2.1439 0.0000 9.2853
Ag 5.1938 0.0000 2.1646
Ag 4.5994 0.0000 10.5438
Ag 6.1813 0.0000 6.9142

---

(2)
7
Lattice="-1.3941 1.7960 10.1194 1.3941 -1.7960 10.1194 1.3941 1.7960 -10.1194" Properties=species:S:1:pos:R:3 comment="Cu4Ag3 (GGA-PBE, relaxed)" e_form_kj_per_mol_atoms=7 rho_g_cm3=9.47 total_energy_ev_per_atom=-3.26 polymorph_energy_ev_per_atom=0.0223 pbc="T T T"
Cu 0.0000 0.0000 3.2041
Cu 0.0000 0.0000 5.6920
Cu 0.0000 0.0000 14.5468
Cu 0.0000 0.0000 17.0347
Ag 0.0000 0.0000 0.0000
Ag 0.0000 0.0000 8.3973
Ag 0.0000 0.0000 11.8415